{"formula": "Li7V3NiP6O24", "functional": "PBE with a Hubbard U", "state": "relaxed", "energy_ev_per_atom": -6.866, "sg": "No. 146", "lattice_angstrom": [[-0.385, 8.940, 1.600], [-3.748, 3.787, 7.364], [4.628, 4.295, 6.539]], "species": ["O", "O", "O", "O", "O", "O", "O", "O", "O", "O", "O", "O", "O", "O", "O", "O", "O", "O", "O", "O", "O", "O", "O", "O", "P", "P", "P", "P", "P", "P", "V", "V", "V", "Li", "Li", "Li", "Li", "Li", "Li", "Li", "Ni"], "fractional_positions": [[0.501, 0.893, 0.685], [0.371, 0.645, 0.751], [0.040, 0.715, 0.648], [0.645, 0.751, 0.371], [0.751, 0.371, 0.645], [0.624, 0.359, 0.247], [0.715, 0.648, 0.040], [0.320, 0.003, 0.963], [0.500, 0.110, 0.302], [0.289, 0.352, 0.949], [0.992, 0.032, 0.669], [0.669, 0.992, 0.032], [0.685, 0.501, 0.893], [0.110, 0.302, 0.500], [0.949, 0.289, 0.352], [0.003, 0.963, 0.320], [0.963, 0.320, 0.003], [0.302, 0.500, 0.110], [0.648, 0.040, 0.715], [0.352, 0.949, 0.289], [0.247, 0.624, 0.359], [0.359, 0.247, 0.624], [0.893, 0.685, 0.501], [0.032, 0.669, 0.992], [0.250, 0.542, 0.955], [0.456, 0.041, 0.748], [0.955, 0.250, 0.542], [0.542, 0.955, 0.250], [0.748, 0.456, 0.041], [0.041, 0.748, 0.456], [0.353, 0.353, 0.353], [0.848, 0.848, 0.848], [0.645, 0.645, 0.645], [0.168, 0.422, 0.771], [0.233, 0.834, 0.573], [0.044, 0.044, 0.044], [0.422, 0.771, 0.168], [0.834, 0.573, 0.233], [0.573, 0.233, 0.834], [0.771, 0.168, 0.422], [0.157, 0.157, 0.157]]}